The following is a DFT calculation (PBE-GGA) of a relaxed structure of Ti2Nb2Co3.

a b c (Å): 4.063 4.578 6.167
angles (deg): 102.29 109.15 90.00
Space group P-1 (No. 2)
Inequivalent atoms, fractional coordinates:
1 Ti 0.117 0.161 0.234 [2 per cell]
2 Nb 0.372 0.372 0.745 [2 per cell]
3 Co 0.254 0.809 0.508 [2 per cell]
4 Co 0.500 0.000 0.000 [1 per cell]

Computed properties:
Formation energy from the elements (eV per atom): -0.07

---

The following is a DFT calculation (PBE-GGA) of a relaxed structure of H2PdBr.

a b c (Å): 5.348 5.348 7.673
angles (deg): 90.00 90.00 90.00
Space group I-42d (No. 122)
Inequivalent atoms, fractional coordinates:
1 H 0.053 0.250 0.125 [8 per cell]
2 Pd 0.000 0.000 0.000 [4 per cell]
3 Br 0.000 0.000 0.500 [4 per cell]

Computed properties:
E above lowest polymorph (meV per atom): 0.0

---

The following is a DFT calculation (PBE-GGA) of a relaxed structure of CsGaRh3.

a b c (Å): 5.000 5.000 5.000
angles (deg): 90.00 90.00 90.00
Space group Pm-3m (No. 221)
Inequivalent atoms, fractional coordinates:
1 Cs 0.000 0.000 0.000 [1 per cell]
2 Ga 0.500 0.500 0.500 [1 per cell]
3 Rh 0.000 0.000 0.500 [3 per cell]

Computed properties:
Formation energy from the elements (eV per atom): 1.97
E above lowest polymorph (meV per atom): 1268.2